Material: CoBW
Method: DFT, PBE-GGA
State: relaxed

Output
**Calculated formation energy**: -38 kJ/mol of atoms
**Density of states at the Fermi level**: 8.43 states/eV per cell
**SG**: No. 11
**Uncorrected energy**: -9.31 eV/atom
**Total magnetic moment**: 0.00 μB per formula unit

Cell lengths 3.260, 5.770, 9.903 Å; angles 89.53, 90.00, 90.00 degrees
Fractional coordinates of all 18 atoms:
B  0.250  0.765  0.919
B  0.750  0.766  0.584
B  0.250  0.234  0.416
B  0.250  0.732  0.251
B  0.750  0.268  0.749
B  0.750  0.235  0.081
Co  0.250  0.854  0.463
Co  0.750  0.146  0.537
Co  0.750  0.006  0.910
Co  0.250  0.994  0.090
Co  0.750  0.636  0.797
Co  0.250  0.364  0.203
W  0.750  0.651  0.079
W  0.750  0.028  0.288
W  0.250  0.972  0.712
W  0.250  0.468  0.618
W  0.250  0.349  0.921
W  0.750  0.532  0.382